Computed, not measured: crystalline NaTm3Pu2Se6 at its relaxed geometry at the PBE level of DFT.

Cell: 17.9334 4.0628 8.2471 Å, 90.00 104.08 90.00°
Space group C2/m (No. 12)
Inequivalent atoms, fractional coordinates:
Na 0.0000 0.0000 0.0000
Tm 0.0000 0.0000 0.5000
Tm 0.1670 0.5000 0.8307
Pu 0.1673 0.5000 0.3344
Se 0.0031 0.5000 0.7434
Se 0.1639 0.0000 0.5876
Se 0.1686 0.0000 0.0748

Summary:
Formation energy (no corrections) (eV/atom): -1.634
Electronic total energy (eV for the cell shown): -167.8
Magnetic moment (μB per atom): 0.992
V (Å³/atom): 24.28